# 1
Density functional theory data (PBE-GGA) for an optimized crystal structure of Ba2ZrMn.

Output
Formation enthalpy at 0 K = 3.358 eV/f.u.
Volume = 32.9 Å³/atom
Excess energy over the best structure of this formula in the dataset = 450 meV per atom
Energy = -4.551 eV/atom

Cell: 3.6444 3.6444 34.3433 Å, 90.00 90.00 120.00°
Last column: nearest neighbours and their distance in Å.
Space group R-3m (No. 166, hexagonal axes)
Asymmetric unit:
Ba (0.0000, 0.0000, 0.2453) [6 per cell]  3 Mn 3.42, 6 Ba 3.64, 3 Zr 3.68
Zr (0.0000, 0.0000, 0.0000) [3 per cell]  6 Zr 3.64, 6 Ba 3.68
Mn (0.0000, 0.0000, 0.5000) [3 per cell]  6 Ba 3.42, 6 Mn 3.64

---

# 2
Density functional theory data (PBE-GGA) for an optimized crystal structure of RbBiOs3.

Output
Formation enthalpy at 0 K = 13.498 eV/f.u.
Volume = 27.5 Å³/atom
Excess energy over the best structure of this formula in the dataset = 0 meV per atom
Energy = -5.008 eV/atom

Cell: 5.1607 5.1607 5.1607 Å, 90.00 90.00 90.00°
Last column: nearest neighbours and their distance in Å.
Space group Pm-3m (No. 221)
Asymmetric unit:
Rb (0.0000, 0.0000, 0.0000) [1 per cell]  12 Os 3.65
Bi (0.5000, 0.5000, 0.5000) [1 per cell]  6 Os 2.58
Os (0.0000, 0.5000, 0.5000) [3 per cell]  2 Bi 2.58

---

# 3
Density functional theory data (PBE-GGA) for an optimized crystal structure of Li6Cd12Hg.

Output
Formation enthalpy at 0 K = -3.469 eV/f.u.
Volume = 20.1 Å³/atom
Energy = -1.381 eV/atom

Cell: 10.3059 10.3059 12.4833 Å, 90.00 90.00 120.00°
Last column: nearest neighbours and their distance in Å.
Space group R-3 (No. 148, hexagonal axes)
Asymmetric unit:
Li (0.0284, 0.4371, 0.2035) [18 per cell]  1 Hg 2.87, 8 Cd 2.90-3.09, 2 Li 2.98
Cd (0.0320, 0.1900, 0.3110) [18 per cell]  4 Li 2.90-3.09, 5 Cd 2.92-3.17, 1 Hg 2.98
Cd (0.0604, 0.8418, 0.9140) [18 per cell]  4 Li 2.93-3.00, 5 Cd 2.93-3.17
Hg (0.0000, 0.0000, 0.5000) [3 per cell]  6 Li 2.87, 6 Cd 2.98

---

# 4
Density functional theory data (PBE-GGA) for an optimized crystal structure of PmEr2Pu.

Output
Formation enthalpy at 0 K = 0.747 eV/f.u.
Volume = 30.8 Å³/atom
Excess energy over the best structure of this formula in the dataset = 85 meV per atom
Energy = -6.865 eV/atom

Cell: 5.7703 5.7703 3.7000 Å, 90.00 90.00 90.00°
Last column: nearest neighbours and their distance in Å.
Space group P4/mmm (No. 123)
Asymmetric unit:
Pm (0.0000, 0.0000, 0.0000) [1 per cell]  8 Er 3.43, 2 Pm 3.70
Er (0.0000, 0.5000, 0.5000) [2 per cell]  4 Pm 3.43, 4 Pu 3.43, 2 Er 3.70
Pu (0.5000, 0.5000, 0.0000) [1 per cell]  8 Er 3.43, 2 Pu 3.70